SnOsAu2F: optimized geometry, PBE-GGA.

Cell and atoms, written as POSCAR:
```
SnOsAu2F
1.0
-1.432 -4.695 -0.784
3.689 -0.991 -0.805
0.769 -1.036 4.801
Os Au Sn F
1 2 1 1
Cartesian
1.844 -0.495 -0.402
0.384 -0.518 2.400
-0.716 -2.348 -0.392
1.513 -3.361 1.606
0.000 0.000 0.000
```

Calculated values
V = 19.29 Å³/atom
Final energy = -3.99 eV per atom


ScCoRu2: optimized geometry, PBE-GGA.

Cell and atoms, written as POSCAR:
```
ScCoRu2
1.0
-0.883 -3.654 -2.927
3.551 -3.172 0.157
-2.592 2.105 3.398
Co Ru Sc
1 2 1
Cartesian
-1.071 -2.481 -0.457
0.000 0.000 0.000
1.334 -3.413 -1.385
1.146 -2.241 1.085
```

Calculated values
ΔE to the lowest computed polymorph = 73 meV per atom
V = 14.40 Å³/atom
ΔE_f = 0.007 eV per atom


Ti6NbPb: optimized geometry, PBE-GGA.

Cell and atoms, written as POSCAR:
```
Ti6NbPb
1.0
4.451 0.000 0.000
0.000 5.410 -2.226
0.000 0.399 5.837
Ti Nb Pb
6 1 1
Cartesian
0.000 0.936 1.908
0.000 3.684 3.616
0.000 3.656 0.596
2.225 2.196 0.063
2.225 4.780 1.669
2.225 4.693 -1.072
2.225 2.270 2.827
0.000 1.020 4.838
```

Calculated values
V = 18.06 Å³/atom
ΔE_f = -0.004 eV per atom


Question: V of number 2 (ScCoRu2)?
Answer: 14.40 Å³/atom


Question: Which formula does entry 3 have?
Answer: Ti6NbPb


Question: Among the records above, which one has the highest V?
Answer: SnOsAu2F